Record 1
## LiBeV (PBE)

Data for LiBeV after structural relaxation.

Geometry as POSCAR:
```
LiBeV
1.0
0.000 2.700 2.700
2.700 0.000 2.700
2.700 2.700 0.000
Li Be V
1 1 1
direct
0.000 0.000 0.000
0.250 0.250 0.250
0.500 0.500 0.500
```

Values from the calculation:
Energy above the lowest structure with this stoichiometry ... 670 meV/atom
Formation enthalpy at 0 K ... 811 meV per atom


Record 2
## Tl2Pb2Br (PBE)

Data for Tl2Pb2Br after structural relaxation.

Geometry as POSCAR:
```
Tl2Pb2Br
1.0
9.062 0.000 0.000
0.000 9.062 0.000
0.000 0.000 4.097
Tl Pb Br
4 4 2
direct
0.183 0.317 0.000
0.317 0.817 0.000
0.683 0.183 0.000
0.817 0.683 0.000
0.121 0.621 0.500
0.379 0.121 0.500
0.621 0.879 0.500
0.879 0.379 0.500
0.000 0.000 0.000
0.500 0.500 0.000
```

Values from the calculation:
Energy above the lowest structure with this stoichiometry ... 29 meV/atom


Record 3
## Rb2NdGaS4 (PBE)

Data for Rb2NdGaS4 after structural relaxation.

Geometry as POSCAR:
```
Rb2NdGaS4
1.0
5.836 -6.092 0.000
5.836 6.092 0.000
-5.661 0.000 6.469
Rb Nd Ga S
4 2 2 8
direct
0.000 0.000 0.000
0.000 0.000 0.500
0.000 0.500 0.000
0.500 0.000 0.500
0.500 0.500 0.000
0.500 0.500 0.500
0.000 0.500 0.500
0.500 0.000 0.000
0.195 0.676 0.486
0.272 0.306 0.556
0.306 0.272 0.056
0.324 0.805 0.014
0.676 0.195 0.986
0.694 0.728 0.944
0.728 0.694 0.444
0.805 0.324 0.514
```

Values from the calculation:
E_tot ... -70.95 eV for the cell shown


Record 4
## InTcO3 (PBE)

Data for InTcO3 after structural relaxation.

Geometry as POSCAR:
```
InTcO3
1.0
3.939 0.000 0.000
0.000 3.939 0.000
0.000 0.000 3.939
In Tc O
1 1 3
direct
0.000 0.000 0.000
0.500 0.500 0.500
0.000 0.500 0.500
0.500 0.000 0.500
0.500 0.500 0.000
```

Values from the calculation:
E_tot ... -33.34 eV for the cell shown


Record 5
## MgBiAu (PBE)

Data for MgBiAu after structural relaxation.

Geometry as POSCAR:
```
MgBiAu
1.0
3.337 0.000 0.000
0.000 6.094 0.000
-1.598 0.000 6.844
Mg Bi Au
2 2 2
direct
0.000 0.000 0.000
0.000 0.500 0.000
0.310 0.250 0.629
0.690 0.750 0.371
0.383 0.750 0.760
0.617 0.250 0.240
```

Values from the calculation:
Formation enthalpy at 0 K ... -244 meV per atom


Record 6
## NaBiH3 (PBE)

Data for NaBiH3 after structural relaxation.

Geometry as POSCAR:
```
NaBiH3
1.0
4.425 0.000 0.000
0.000 4.425 0.000
0.000 0.000 4.425
Na Bi H
1 1 3
direct
0.000 0.000 0.000
0.500 0.500 0.500
0.000 0.500 0.500
0.500 0.000 0.500
0.500 0.500 0.000
```

Values from the calculation:
Energy above the lowest structure with this stoichiometry ... 0 meV/atom


Record 7
## Mg2Sc5RuRh2 (PBE)

Data for Mg2Sc5RuRh2 after structural relaxation.

Geometry as POSCAR:
```
Mg2Sc5RuRh2
1.0
10.948 0.000 0.000
0.000 10.948 0.000
0.000 0.000 3.373
Mg Sc Ru Rh
4 10 2 4
direct
0.178 0.322 0.000
0.322 0.822 0.000
0.678 0.178 0.000
0.822 0.678 0.000
0.000 0.500 0.500
0.062 0.806 0.500
0.194 0.062 0.500
0.306 0.562 0.500
0.438 0.306 0.500
0.500 0.000 0.500
0.562 0.694 0.500
0.694 0.438 0.500
0.806 0.938 0.500
0.938 0.194 0.500
0.000 0.000 0.000
0.500 0.500 0.000
0.130 0.630 0.000
0.370 0.130 0.000
0.630 0.870 0.000
0.870 0.370 0.000
```

Values from the calculation:
Formation enthalpy at 0 K ... -509 meV per atom


Record 8
## LiCa5Pb4 (PBE)

Data for LiCa5Pb4 after structural relaxation.

Geometry as POSCAR:
```
LiCa5Pb4
1.0
3.731 0.000 0.000
0.000 3.731 0.000
0.000 0.000 21.651
Li Ca Pb
1 5 4
direct
0.000 0.000 0.000
0.500 0.500 0.098
0.500 0.500 0.295
0.500 0.500 0.500
0.500 0.500 0.705
0.500 0.500 0.902
0.000 0.000 0.193
0.000 0.000 0.398
0.000 0.000 0.602
0.000 0.000 0.807
```

Values from the calculation:
Formation enthalpy at 0 K ... -437 meV per atom


Record 9
## LaTcAg (PBE)

Data for LaTcAg after structural relaxation.

Geometry as POSCAR:
```
LaTcAg
1.0
2.959 0.000 0.000
-1.480 2.563 0.000
0.000 0.000 8.050
La Tc Ag
1 1 1
direct
0.000 0.000 0.000
0.667 0.333 0.339
0.333 0.667 0.631
```

Values from the calculation:
Energy above the lowest structure with this stoichiometry ... 224 meV/atom
Formation enthalpy at 0 K ... 645 meV per atom


Record 10
## K2AlH3O (PBE)

Data for K2AlH3O after structural relaxation.

Geometry as POSCAR:
```
K2AlH3O
1.0
-1.852 1.962 6.742
1.852 -1.962 6.742
1.852 1.962 -6.742
K Al H O
2 1 3 1
direct
0.141 0.141 0.000
0.859 0.859 0.000
0.500 0.500 0.000
0.000 0.500 0.500
0.364 0.364 0.000
0.636 0.636 0.000
0.500 0.000 0.500
```

Values from the calculation:
E_tot ... -26.61 eV for the cell shown


Record 11
## Sm2Pu3ThS6 (PBE)

Data for Sm2Pu3ThS6 after structural relaxation.

Geometry as POSCAR:
```
Sm2Pu3ThS6
1.0
8.681 -1.989 0.000
8.681 1.989 0.000
-1.732 0.000 7.776
Sm Pu Th S
2 3 1 6
direct
0.167 0.167 0.337
0.833 0.833 0.663
0.166 0.166 0.836
0.500 0.500 0.500
0.834 0.834 0.164
0.500 0.500 0.000
0.000 0.000 0.257
0.000 0.000 0.743
0.331 0.331 0.917
0.334 0.334 0.411
0.666 0.666 0.589
0.669 0.669 0.083
```

Values from the calculation:
E_tot ... -107.21 eV for the cell shown


Record 12
## RePb2Br (PBE)

Data for RePb2Br after structural relaxation.

Geometry as POSCAR:
```
RePb2Br
1.0
3.429 0.000 0.000
0.000 3.429 0.000
0.000 0.000 8.182
Re Pb Br
1 2 1
direct
0.000 0.000 0.000
0.500 0.500 0.211
0.500 0.500 0.789
0.000 0.000 0.500
```

Values from the calculation:
Energy above the lowest structure with this stoichiometry ... 23 meV/atom


Record 13
## LiFeCuSi (PBE)

Data for LiFeCuSi after structural relaxation.

Geometry as POSCAR:
```
LiFeCuSi
1.0
0.000 2.814 2.814
2.814 0.000 2.814
2.814 2.814 0.000
Li Fe Cu Si
1 1 1 1
direct
0.000 0.000 0.000
0.250 0.250 0.250
0.750 0.750 0.750
0.500 0.500 0.500
```

Values from the calculation:
E_tot ... -20.47 eV for the cell shown


Record 14
## La2PmPrDy (PBE)

Data for La2PmPrDy after structural relaxation.

Geometry as POSCAR:
```
La2PmPrDy
1.0
6.545 0.000 0.000
0.000 7.970 0.000
0.000 0.000 6.864
La Pm Pr Dy
4 2 2 2
direct
0.250 0.205 0.207
0.250 0.795 0.207
0.750 0.205 0.793
0.750 0.795 0.793
0.250 0.500 0.910
0.750 0.500 0.090
0.250 0.000 0.684
0.750 0.000 0.316
0.000 0.500 0.500
0.500 0.500 0.500
```

Values from the calculation:
Formation enthalpy at 0 K ... 205 meV per atom


Record 15
## YCd2Br (PBE)

Data for YCd2Br after structural relaxation.

Geometry as POSCAR:
```
YCd2Br
1.0
-2.086 2.086 5.825
2.086 -2.086 5.825
2.086 2.086 -5.825
Y Cd Br
1 2 1
direct
0.000 0.000 0.000
0.250 0.750 0.500
0.750 0.250 0.500
0.500 0.500 0.000
```

Values from the calculation:
Energy above the lowest structure with this stoichiometry ... 107 meV/atom


Record 16
## VNi2Ru (PBE)

Data for VNi2Ru after structural relaxation.

Geometry as POSCAR:
```
VNi2Ru
1.0
0.000 2.915 2.915
2.915 0.000 2.915
2.915 2.915 0.000
V Ni Ru
1 2 1
direct
0.000 0.000 0.000
0.250 0.250 0.250
0.750 0.750 0.750
0.500 0.500 0.500
```

Values from the calculation:
Energy above the lowest structure with this stoichiometry ... 298 meV/atom
Formation enthalpy at 0 K ... 96 meV per atom


Record 17
## Hf4TcS (PBE)

Data for Hf4TcS after structural relaxation.

Geometry as POSCAR:
```
Hf4TcS
1.0
6.463 -1.655 0.000
6.463 1.655 0.000
-2.751 0.000 5.748
Hf Tc S
4 1 1
direct
0.142 0.142 0.326
0.355 0.355 0.180
0.645 0.645 0.820
0.858 0.858 0.674
0.000 0.000 0.500
0.500 0.500 0.000
```

Values from the calculation:
E_tot ... -56.15 eV for the cell shown


Record 18
## CaBeSi2 (PBE)

Data for CaBeSi2 after structural relaxation.

Geometry as POSCAR:
```
CaBeSi2
1.0
-1.784 1.844 5.685
1.784 -1.844 5.685
1.784 1.844 -5.685
Ca Be Si
1 1 2
direct
0.000 0.000 0.000
0.743 0.243 0.500
0.217 0.717 0.500
0.360 0.360 0.000
```

Values from the calculation:
E_tot ... -16.64 eV for the cell shown


Record 19
## NaSb2RhW (PBE)

Data for NaSb2RhW after structural relaxation.

Geometry as POSCAR:
```
NaSb2RhW
1.0
5.241 0.000 0.000
0.000 5.241 0.000
0.000 0.000 4.933
Na Sb Rh W
1 2 1 1
direct
0.000 0.000 0.000
0.000 0.500 0.500
0.500 0.000 0.500
0.500 0.500 0.500
0.500 0.500 0.000
```

Values from the calculation:
E_tot ... -25.38 eV for the cell shown


Record 20
## CaLa3Zn3 (PBE)

Data for CaLa3Zn3 after structural relaxation.

Geometry as POSCAR:
```
CaLa3Zn3
1.0
5.199 -5.337 0.000
5.199 5.337 0.000
0.000 0.000 7.176
Ca La Zn
2 6 6
direct
0.204 0.204 0.000
0.796 0.796 0.000
0.213 0.787 0.500
0.240 0.240 0.500
0.292 0.708 0.000
0.708 0.292 0.000
0.760 0.760 0.500
0.787 0.213 0.500
0.000 0.500 0.246
0.000 0.500 0.754
0.500 0.000 0.246
0.500 0.000 0.754
0.500 0.500 0.301
0.500 0.500 0.699
```

Values from the calculation:
Formation enthalpy at 0 K ... -197 meV per atom


| no. | total magnetization (Bohr magnetons per cell) |
| --- | --- |
| 1 | 0.00 |
| 2 | 0.00 |
| 3 | 0.00 |
| 4 | 0.00 |
| 5 | 0.00 |
| 6 | 0.00 |
| 7 | 0.00 |
| 8 | 0.00 |
| 9 | 0.00 |
| 10 | 0.00 |
| 11 | 5.70 |
| 12 | 0.11 |
| 13 | 1.10 |
| 14 | 0.00 |
| 15 | 0.00 |
| 16 | 0.08 |
| 17 | 0.00 |
| 18 | 0.00 |
| 19 | 2.84 |
| 20 | 0.00 |